Below is crystalline SrTeS2O8 at its relaxed geometry, with properties calculated at the PBE-GGA level.

Values from the calculation:
The value obtained for the total energy is -5.82 eV/atom. The raw formation energy comes out at -1.43 eV per atom.

a b c (Å): 4.8912 4.8912 25.1912
angles (deg): 90.00 90.00 120.00
Space group R-3 (No. 148, hexagonal axes)
Inequivalent atoms, fractional coordinates:
Sr 0.0000 0.0000 0.0000
Te 0.0000 0.0000 0.5000
S 0.0000 0.0000 0.2594
O 0.0000 0.0000 0.3189
O 0.0072 0.7124 0.7586